Entry 1:
Computed, not measured: a relaxed Y2Sc crystal at the PBEsol level of DFT.

```
Y2Sc
1.0
3.418 0.000 0.000
-1.709 2.960 0.000
0.000 0.000 8.302
Y Sc
2 1
direct
0.667 0.333 0.677 Y
0.333 0.667 0.323 Y
0.000 0.000 0.000 Sc
```

Properties
ΔE_f: 0.053 eV per atom
density: 4.4 g/cm³
uncorrected energy: -6.696 eV per atom



Entry 2:
Computed, not measured: a relaxed YSc crystal at the PBEsol level of DFT.

```
YSc
1.0
3.428 0.000 0.000
-1.714 2.969 0.000
0.000 0.000 10.652
Y Sc
2 2
direct
0.333 0.667 0.364 Y
0.667 0.333 0.636 Y
0.333 0.667 0.885 Sc
0.667 0.333 0.115 Sc
```

Properties
ΔE_f: 0.035 eV per atom
density: 4.1 g/cm³
uncorrected energy: -6.679 eV per atom



Entry 3:
Computed, not measured: a relaxed YSc crystal at the PBEsol level of DFT.

```
YSc
1.0
4.338 0.000 0.000
2.169 3.757 0.000
2.169 1.252 3.542
Sc Y
1 1
direct
0.000 0.000 0.000 Sc
0.500 0.500 0.500 Y
```

Properties
ΔE_f: 0.768 eV per atom
density: 3.9 g/cm³
uncorrected energy: -5.946 eV per atom



density of number 2 (YSc)?
4.1 g/cm³